Density functional theory data (PBE-GGA) for a relaxed PuTaRe4 crystal.

Cell: 5.310 5.310 5.310 Å, 60.00 60.00 60.00°
Positions (direct):
Pu  0.000  0.000  0.000
Ta  0.250  0.250  0.250
Re  0.126  0.625  0.625
Re  0.625  0.126  0.625
Re  0.625  0.625  0.126
Re  0.625  0.625  0.625

The total moment is 4.6 Bohr magnetons per cell. As for the formation energy from the elements: 0.04 eV/atom. Its final energy is -75.73 eV per cell.

***

Density functional theory data (PBE-GGA) for a relaxed BeOs2 crystal.

Cell: 5.190 3.922 7.278 Å, 90.00 90.00 90.00°
Positions (direct):
Be  0.198  0.250  0.107
Be  0.302  0.750  0.607
Be  0.698  0.250  0.393
Be  0.802  0.750  0.893
Os  0.023  0.250  0.794
Os  0.166  0.250  0.440
Os  0.334  0.750  0.940
Os  0.477  0.750  0.294
Os  0.523  0.250  0.706
Os  0.666  0.250  0.060
Os  0.834  0.750  0.560
Os  0.977  0.750  0.206

The total moment is 0.0 Bohr magnetons per cell. As for the formation energy from the elements: 0.12 eV/atom. Its final energy is -103.28 eV per cell.

***

Density functional theory data (PBE-GGA) for a relaxed LuHg2Bi crystal.

Cell: 3.446 3.446 34.628 Å, 90.00 90.00 120.00°
Positions (direct):
Lu  0.000  0.000  0.000
Lu  0.333  0.667  0.667
Lu  0.667  0.333  0.333
Hg  0.000  0.000  0.086
Hg  0.000  0.000  0.914
Hg  0.333  0.667  0.581
Hg  0.333  0.667  0.752
Hg  0.667  0.333  0.248
Hg  0.667  0.333  0.419
Bi  0.000  0.000  0.500
Bi  0.333  0.667  0.167
Bi  0.667  0.333  0.833

The total moment is 0.0 Bohr magnetons per cell. As for the formation energy from the elements: 0.12 eV/atom. Its final energy is -25.62 eV per cell.